## A
Below is crystalline AlCr2P at its relaxed geometry, with properties calculated at the PBE-GGA level.

## Properties
Size of the total moment ... 0.0 μB/f.u.
Crystal system ... monoclinic

Cell lengths 4.6052, 4.6052, 2.6547 Å; angles 101.01, 101.01, 111.59 degrees
Last column: nearest neighbours and their distance in Å.
Fractional coordinates of all 4 atoms:
1 Al 0.0000 0.0000 0.0000  4 Cr 2.43, 2 P 2.59, 2 Al 2.65
2 Cr 0.0000 0.5000 0.5000  2 Al 2.43, 2 P 2.43, 4 Cr 2.59-2.65
3 Cr 0.5000 0.0000 0.5000  2 Al 2.43, 2 P 2.43, 4 Cr 2.59-2.65
4 P 0.5000 0.5000 0.0000  4 Cr 2.43, 2 Al 2.59, 2 P 2.65


## B
Below is crystalline AlCr2P at its relaxed geometry, with properties calculated at the PBE-GGA level.

## Properties
Size of the total moment ... 0.3 μB/f.u.
Crystal system ... monoclinic

Cell lengths 4.4872, 4.4872, 4.2137 Å; angles 104.46, 104.46, 37.49 degrees
Last column: nearest neighbours and their distance in Å.
Fractional coordinates of all 4 atoms:
1 Al 0.0000 0.0000 0.0000  7 Cr 2.47-2.59, 3 P 2.62-2.72
2 Cr 0.2464 0.2464 0.7924  3 Al 2.47-2.55, 4 P 2.54-2.57, 3 Cr 2.67-2.70
3 Cr 0.4826 0.4826 0.4819  3 P 2.38-2.61, 4 Al 2.53-2.59
4 P 0.7535 0.7535 0.2998  7 Cr 2.38-2.61, 2 Al 2.62


## C
Below is crystalline AlCr2P at its relaxed geometry, with properties calculated at the PBE-GGA level.

## Properties
Size of the total moment ... 0.0 μB/f.u.
Crystal system ... orthorhombic

Cell lengths 2.6155, 2.6155, 7.9561 Å; angles 90.00, 90.00, 109.14 degrees
Last column: nearest neighbours and their distance in Å.
Fractional coordinates of all 4 atoms:
1 Al 0.0000 0.0000 0.0000  2 Cr 2.52, 4 Al 2.62, 2 P 2.72
2 Cr 0.0000 0.0000 0.5095  2 P 2.35, 6 Cr 2.42-2.62
3 Cr 0.5000 0.5000 0.7470  6 Cr 2.42-2.62, 2 Al 2.52
4 P 0.5000 0.5000 0.2843  2 Cr 2.35, 4 P 2.62


## D
Below is crystalline AlCr2P at its relaxed geometry, with properties calculated at the PBE-GGA level.

## Properties
Size of the total moment ... 1.2 μB/f.u.
Crystal system ... cubic

Cell lengths 4.1426, 4.1426, 4.1426 Å; angles 60.00, 60.00, 60.00 degrees
Last column: nearest neighbours and their distance in Å.
Fractional coordinates of all 4 atoms:
1 Al 0.0000 0.0000 0.0000  4 P 2.54, 4 Cr 2.54
2 Cr 0.2500 0.2500 0.2500  4 Cr 2.54, 4 Al 2.54
3 Cr 0.5000 0.5000 0.5000  4 Cr 2.54, 4 P 2.54
4 P 0.7500 0.7500 0.7500  4 Al 2.54, 4 Cr 2.54


Most stable to least stable: B, A, D, C


## A
Below is crystalline Al3CrP at its relaxed geometry, with properties calculated at the PBE-GGA level.

## Properties
Size of the total moment ... 0.2 μB/f.u.
Crystal system ... cubic

Cell lengths 4.5646, 4.5646, 4.5646 Å; angles 90.00, 90.00, 90.00 degrees
Last column: nearest neighbours and their distance in Å.
Fractional coordinates of all 5 atoms:
1 Al 0.0000 0.0000 0.5000  2 P 2.28
2 Al 0.0000 0.5000 0.0000  2 P 2.28
3 Al 0.5000 0.0000 0.0000  2 P 2.28
4 Cr 0.5000 0.5000 0.5000  12 Al 3.23
5 P 0.0000 0.0000 0.0000  6 Al 2.28


## B
Below is crystalline Al3CrP at its relaxed geometry, with properties calculated at the PBE-GGA level.

## Properties
Size of the total moment ... 2.2 μB/f.u.
Crystal system ... cubic

Cell lengths 4.6905, 4.6905, 4.6905 Å; angles 90.00, 90.00, 90.00 degrees
Last column: nearest neighbours and their distance in Å.
Fractional coordinates of all 5 atoms:
1 Al 0.0000 0.0000 0.5000  2 Cr 2.35
2 Al 0.0000 0.5000 0.0000  2 Cr 2.35
3 Al 0.5000 0.0000 0.0000  2 Cr 2.35
4 Cr 0.0000 0.0000 0.0000  6 Al 2.35
5 P 0.5000 0.5000 0.5000  12 Al 3.32


Most stable to least stable: B, A